A geometry-optimized Rb2SnSb2 structure, computed with PBE.

Cell: 7.104 7.104 11.779 Å, 116.20 116.20 49.39°
Positions (direct):
Rb  0.011  0.011  0.180
Rb  0.177  0.177  0.600
Rb  0.823  0.823  0.400
Rb  0.989  0.989  0.820
Sn  0.288  0.288  0.146
Sn  0.712  0.712  0.854
Sb  0.367  0.367  0.947
Sb  0.478  0.478  0.611
Sb  0.522  0.522  0.389
Sb  0.633  0.633  0.053

## Properties
Magnetic moment: 0.00 μB per atom
Crystal system: monoclinic
ΔE_f (raw): -0.3187 eV per atom
Symmetry: C2/m